1.
A plane-wave DFT calculation with PBE-GGA was carried out for a relaxed structure of KYFe2.

Lattice parameters (Å, degrees): 10.5137 10.5137 10.5137 17.67 17.67 17.67
Each line ends with the local moment (μB).
Sites, in units of the cell vectors:
K 0.2500 0.2500 0.2500  -0.04
Fe 0.4899 0.4899 0.4899  2.79
Fe 0.0101 0.0101 0.0101  2.79
Y 0.7500 0.7500 0.7500  -0.29

Calculated total energy in eV per atom: -5.163
Distance to the lowest polymorph of the same formula in meV/atom: 529
E_form in eV/atom: 0.959

---

2.
A plane-wave DFT calculation with PBE-GGA was carried out for a relaxed structure of DyCrCl5.

Lattice parameters (Å, degrees): 6.9535 6.9535 8.4462 75.23 75.23 83.14
Each line ends with the local moment (μB).
Sites, in units of the cell vectors:
Cl 0.8366 0.7026 0.1376  -0.01
Cl 0.3040 0.6400 0.4607  0.01
Cl 0.3600 0.6960 0.0393  0.01
Cl 0.6400 0.3040 0.9607  0.01
Cl 0.6960 0.3600 0.5393  0.01
Cl 0.1219 0.8781 0.7500  -0.04
Cl 0.7026 0.8366 0.6376  -0.01
Cl 0.8781 0.1219 0.2500  -0.04
Cl 0.1634 0.2974 0.8624  -0.01
Cl 0.2974 0.1634 0.3624  -0.01
Cr 0.0000 0.0000 0.0000  3.62
Cr 0.0000 0.0000 0.5000  3.62
Dy 0.5579 0.4421 0.2500  0.02
Dy 0.4421 0.5579 0.7500  0.02

Calculated total energy in eV per atom: -4.979
Formation energy (no corrections) in eV/atom: -1.628